The following is a DFT calculation (PBE-GGA) of Dy2ErP after structural relaxation.

## Properties
For the volume, the calculation gives 30.25 Å³ per atom. The value obtained for the electronic total energy is -0.3880 Ry/atom. Its magnetic moment is 0.9 μB/f.u. Its density of states at the Fermi level is 4.37 states/eV/f.u.

Cell lengths 10.300, 10.300, 10.300 Å; angles 20.83, 20.83, 20.83 degrees
Positions (direct):
Dy 0.113 0.113 0.113
Dy 0.887 0.887 0.887
Er 0.000 0.000 0.000
P 0.500 0.500 0.500